DFT (GGA+U) results for CaTiP3WO12 after structural relaxation.

DFT total energy   -7.64 eV/atom

Structure (CIF):
```
data_CaTiP3WO12
_chemical_formula_sum 'Ca6 Ti6 P18 W6 O72'
_cell_length_a 8.8120
_cell_length_b 8.8120
_cell_length_c 22.1725
_cell_angle_alpha 90.00
_cell_angle_beta 90.00
_cell_angle_gamma 120.00
_symmetry_space_group_name_H-M 'R 3 c'
_symmetry_Int_Tables_number 161
_symmetry_space_group_name_Hall 'R 3 -2"c'
loop_
_atom_site_label
_atom_site_type_symbol
_atom_site_fract_x
_atom_site_fract_y
_atom_site_fract_z
Ca1 Ca 0.0000 0.0000 0.0000
Ti1 Ti 0.0000 0.0000 0.3504
P1 P 0.0462 0.3690 0.4155
W1 W 0.0000 0.0000 0.1433
O1 O 0.0340 0.1864 0.4173
O2 O 0.1313 0.4639 0.3578
O3 O 0.1498 0.4745 0.7485
O4 O 0.1549 0.4734 0.4727
```